1.
{
  "formula": "In3Hg5",
  "functional": "PBE-GGA",
  "state": "optimized geometry",
  "de_polymorph_mev_per_atom": 25,
  "sg": "P6_3/mcm, No. 193",
  "crystal_system": "hexagonal",
  "energy_ev_per_cell": -19.08,
  "cell": [[-4.915, 5.145, 5.382], [-3.695, -3.711, -7.222], [-1.579, -5.087, 3.422]],
  "species": ["In", "In", "In", "In", "In", "In", "Hg", "Hg", "Hg", "Hg", "Hg", "Hg", "Hg", "Hg", "Hg", "Hg"],
  "fractional_positions": [[0.000, 0.402, 0.750], [0.000, 0.598, 0.250], [0.402, 0.402, 0.250], [0.598, 0.000, 0.250], [0.402, 0.000, 0.750], [0.598, 0.598, 0.750], [0.333, 0.667, 0.500], [0.783, 0.783, 0.250], [0.667, 0.333, 0.500], [0.217, 0.217, 0.750], [0.333, 0.667, 0.000], [0.000, 0.217, 0.250], [0.000, 0.783, 0.750], [0.667, 0.333, 0.000], [0.217, 0.000, 0.250], [0.783, 0.000, 0.750]]
}

2.
{
  "formula": "NbZnIn2",
  "functional": "PBE-GGA",
  "state": "optimized geometry",
  "sg": "P4/mmm, No. 123",
  "crystal_system": "tetragonal",
  "energy_ev_per_cell": -16.44,
  "cell": [[-2.606, -2.860, -1.644], [-0.897, -1.440, 3.929], [-3.236, 2.786, 0.282]],
  "species": ["Zn", "Nb", "In", "In"],
  "fractional_positions": [[0.500, 0.000, 0.000], [0.500, 0.500, 0.500], [0.000, 0.500, 0.000], [0.000, 0.000, 0.500]]
}

3.
{
  "formula": "Ac6Si3Se14",
  "functional": "PBE-GGA",
  "state": "optimized geometry",
  "sg": "P3, No. 143",
  "crystal_system": "trigonal",
  "e_form_raw_ev_per_atom": -1.48,
  "energy_ev_per_cell": -123.69,
  "cell": [[6.175, 0.000, 0.000], [0.000, 9.690, -5.594], [0.000, 0.000, 11.189]],
  "species": ["Se", "Se", "Se", "Se", "Se", "Se", "Se", "Se", "Se", "Se", "Se", "Se", "Se", "Se", "Ac", "Ac", "Ac", "Ac", "Ac", "Ac", "Si", "Si", "Si"],
  "fractional_positions": [[0.478, 0.551, 0.810], [0.478, 0.259, 0.449], [0.971, 0.783, 0.856], [0.970, 0.333, 0.667], [0.462, 0.000, 0.000], [0.728, 0.422, 0.250], [0.247, 0.501, 0.086], [0.971, 0.144, 0.926], [0.478, 0.190, 0.741], [0.247, 0.585, 0.499], [0.728, 0.828, 0.578], [0.971, 0.074, 0.217], [0.728, 0.750, 0.172], [0.247, 0.914, 0.415], [0.751, 0.024, 0.456], [0.244, 0.788, 0.098], [0.244, 0.310, 0.212], [0.244, 0.902, 0.690], [0.751, 0.432, 0.976], [0.751, 0.544, 0.568], [0.829, 0.000, 0.000], [0.491, 0.667, 0.333], [0.338, 0.333, 0.667]]
}

4.
{
  "formula": "Mn2FeRh",
  "functional": "PBE-GGA",
  "state": "optimized geometry",
  "de_polymorph_mev_per_atom": 62,
  "sg": "I4/mmm, No. 139",
  "crystal_system": "tetragonal",
  "energy_ev_per_cell": -34.14,
  "cell": [[4.471, 0.009, 0.001], [1.511, 4.208, -0.001], [-2.992, -2.108, 2.569]],
  "species": ["Mn", "Mn", "Rh", "Fe"],
  "fractional_positions": [[0.500, 0.500, 0.000], [0.000, 0.000, 0.000], [0.250, 0.750, 0.500], [0.750, 0.250, 0.500]]
}

5.
{
  "formula": "BiSbPd",
  "functional": "PBE-GGA",
  "state": "optimized geometry",
  "de_polymorph_mev_per_atom": 26,
  "sg": "P4_2/mmc, No. 131",
  "crystal_system": "tetragonal",
  "e_form_raw_ev_per_atom": -0.26,
  "energy_ev_per_cell": -27.94,
  "cell": [[-2.832, -2.151, 3.167], [2.625, -3.957, -0.340], [3.956, 2.195, 5.028]],
  "species": ["Pd", "Pd", "Bi", "Bi", "Sb", "Sb"],
  "fractional_positions": [[0.500, 0.500, 0.500], [0.000, 0.000, 0.000], [0.500, 0.000, 0.250], [0.500, 0.000, 0.750], [0.000, 0.500, 0.250], [0.000, 0.500, 0.750]]
}

6.
{
  "formula": "RbOsPtO6",
  "functional": "PBE-GGA",
  "state": "optimized geometry",
  "sg": "Imma, No. 74",
  "crystal_system": "orthorhombic",
  "e_form_raw_ev_per_atom": -0.97,
  "energy_ev_per_cell": -113.41,
  "cell": [[-1.692, -7.009, 1.299], [6.579, -1.953, -1.965], [-0.853, 4.990, 5.153]],
  "species": ["O", "O", "O", "O", "O", "O", "O", "O", "O", "O", "O", "O", "Rb", "Rb", "Os", "Os", "Pt", "Pt"],
  "fractional_positions": [[0.414, 0.062, 0.246], [0.586, 0.938, 0.754], [0.585, 0.335, 0.171], [0.796, 0.046, 0.591], [0.832, 0.684, 0.246], [0.415, 0.665, 0.829], [0.168, 0.938, 0.754], [0.204, 0.954, 0.409], [0.168, 0.316, 0.754], [0.832, 0.062, 0.246], [0.586, 0.316, 0.754], [0.414, 0.684, 0.246], [0.877, 0.627, 0.754], [0.123, 0.373, 0.246], [0.000, 0.000, 0.500], [0.500, 0.000, 0.500], [0.500, 0.500, 0.000], [0.500, 0.000, 0.000]]
}

7.
{
  "formula": "Ga5Ni12Ir2",
  "functional": "PBE-GGA",
  "state": "optimized geometry",
  "sg": "C2/m, No. 12",
  "crystal_system": "monoclinic",
  "energy_ev_per_cell": -101.99,
  "cell": [[4.961, 0.000, 0.000], [-2.481, 6.869, 0.120], [0.000, -2.273, 7.411]],
  "species": ["Ni", "Ni", "Ni", "Ni", "Ni", "Ni", "Ni", "Ni", "Ni", "Ni", "Ni", "Ni", "Ir", "Ir", "Ga", "Ga", "Ga", "Ga", "Ga"],
  "fractional_positions": [[0.559, 0.592, 0.880], [0.100, 0.201, 0.290], [0.403, 0.302, 0.605], [0.441, 0.408, 0.120], [0.900, 0.799, 0.710], [0.899, 0.302, 0.605], [0.480, 0.959, 0.646], [0.033, 0.592, 0.880], [0.597, 0.698, 0.395], [0.520, 0.041, 0.354], [0.101, 0.698, 0.395], [0.967, 0.408, 0.120], [0.752, 0.000, 0.000], [0.248, 0.000, 0.000], [0.366, 0.733, 0.135], [0.696, 0.392, 0.373], [0.000, 0.000, 0.500], [0.634, 0.267, 0.865], [0.304, 0.608, 0.627]]
}

8.
{
  "formula": "GaAg2Au3",
  "functional": "PBE-GGA",
  "state": "optimized geometry",
  "de_polymorph_mev_per_atom": 0,
  "sg": "C2/c, No. 15",
  "crystal_system": "monoclinic",
  "energy_ev_per_cell": -38.27,
  "cell": [[-3.769, 4.761, 4.107], [0.652, -2.498, 4.844], [3.973, 3.726, 0.674]],
  "species": ["Au", "Au", "Au", "Au", "Au", "Au", "Ga", "Ga", "Ag", "Ag", "Ag", "Ag"],
  "fractional_positions": [[0.750, 0.588, 0.412], [0.509, 0.305, 0.145], [0.250, 0.412, 0.588], [0.009, 0.145, 0.305], [0.991, 0.855, 0.695], [0.491, 0.695, 0.855], [0.750, 0.905, 0.095], [0.250, 0.095, 0.905], [0.871, 0.391, 0.867], [0.371, 0.867, 0.391], [0.129, 0.609, 0.133], [0.629, 0.133, 0.609]]
}

9.
{
  "formula": "Ce2Bi2N",
  "functional": "PBE-GGA",
  "state": "optimized geometry",
  "de_polymorph_mev_per_atom": 310,
  "sg": "I4_1/amd, No. 141",
  "crystal_system": "tetragonal",
  "e_form_raw_ev_per_atom": -0.66,
  "energy_ev_per_cell": -62.50,
  "cell": [[-0.644, 0.512, -3.920], [-3.953, -0.135, 0.631], [2.077, 16.886, 3.910]],
  "species": ["N", "N", "Ce", "Ce", "Ce", "Ce", "Bi", "Bi", "Bi", "Bi"],
  "fractional_positions": [[0.750, 0.250, 0.500], [0.500, 0.500, 0.000], [0.285, 0.285, 0.570], [0.965, 0.465, 0.930], [0.715, 0.715, 0.430], [0.535, 0.035, 0.070], [0.161, 0.161, 0.322], [0.839, 0.839, 0.678], [0.089, 0.589, 0.178], [0.411, 0.911, 0.822]]
}

10.
{
  "formula": "Rb2Na2Sn",
  "functional": "PBE-GGA",
  "state": "optimized geometry",
  "de_polymorph_mev_per_atom": 409,
  "sg": "I4/mmm, No. 139",
  "crystal_system": "tetragonal",
  "energy_ev_per_cell": -6.79,
  "cell": [[5.417, 0.000, 0.000], [0.000, 5.417, 0.000], [2.709, 2.709, 8.021]],
  "species": ["Sn", "Rb", "Rb", "Na", "Na"],
  "fractional_positions": [[0.000, 0.000, 0.000], [0.250, 0.750, 0.500], [0.750, 0.250, 0.500], [0.584, 0.584, 0.833], [0.416, 0.416, 0.167]]
}

11.
{
  "formula": "La2TbGe",
  "functional": "PBE-GGA",
  "state": "optimized geometry",
  "de_polymorph_mev_per_atom": 27,
  "sg": "P4/mmm, No. 123",
  "crystal_system": "tetragonal",
  "energy_ev_per_cell": -20.44,
  "cell": [[4.122, 0.000, 0.000], [0.000, 4.122, 0.000], [0.000, 0.000, 7.066]],
  "species": ["Ge", "La", "La", "Tb"],
  "fractional_positions": [[0.500, 0.500, 0.500], [0.000, 0.000, 0.711], [0.000, 0.000, 0.289], [0.500, 0.500, 0.000]]
}

12.
{
  "formula": "RbSe3S",
  "functional": "PBE-GGA",
  "state": "optimized geometry",
  "de_polymorph_mev_per_atom": 0,
  "sg": "P-1, No. 2",
  "crystal_system": "triclinic",
  "e_form_raw_ev_per_atom": -0.37,
  "energy_ev_per_cell": -34.77,
  "cell": [[-6.883, -0.971, -1.087], [0.820, -3.680, -5.120], [-0.146, -4.064, 8.405]],
  "species": ["Rb", "Rb", "S", "S", "Se", "Se", "Se", "Se", "Se", "Se"],
  "fractional_positions": [[0.464, 0.623, 0.688], [0.988, 0.278, 0.959], [0.089, 0.890, 0.143], [0.362, 0.012, 0.505], [0.477, 0.858, 0.270], [0.967, 0.640, 0.757], [0.932, 0.477, 0.474], [0.485, 0.262, 0.890], [0.519, 0.424, 0.173], [0.974, 0.044, 0.377]]
}